The following is a PBE calculation of a relaxed structure of SiAuI2O, from the Alexandria database.

The calculation puts the energy relative to the elements, uncorrected at 0.571 eV/atom. Its energy above the lowest structure with this stoichiometry is 753 meV per atom. The space-group type is No. 123.

Cell: 5.6987 5.6987 4.0099 Å, 90.00 90.00 90.00°
Atoms (fractional coordinates):
I: 0.0000 0.5000 0.0000
I: 0.5000 0.0000 0.0000
Si: 0.5000 0.5000 0.5000
Au: 0.0000 0.0000 0.0000
O: 0.0000 0.0000 0.5000

---

The following is a PBE calculation of a relaxed structure of SnAuIO2, from the Alexandria database.

The calculation puts the energy relative to the elements, uncorrected at 0.341 eV/atom. Its energy above the lowest structure with this stoichiometry is 742 meV per atom. The space-group type is No. 123.

Cell: 4.3793 4.3793 5.3585 Å, 90.00 90.00 90.00°
Atoms (fractional coordinates):
I: 0.0000 0.0000 0.5000
Au: 0.0000 0.0000 0.0000
Sn: 0.5000 0.5000 0.5000
O: 0.0000 0.5000 0.0000
O: 0.5000 0.0000 0.0000

---

The following is a PBE calculation of a relaxed structure of SnAuIO2, from the Alexandria database.

The calculation puts the energy relative to the elements, uncorrected at -0.401 eV/atom. Its energy above the lowest structure with this stoichiometry is 0 meV per atom. The space-group type is No. 123.

Cell: 3.9979 3.9979 6.8949 Å, 90.00 90.00 90.00°
Atoms (fractional coordinates):
I: 0.0000 0.0000 0.5000
Au: 0.5000 0.5000 0.5000
Sn: 0.0000 0.0000 0.0000
O: 0.0000 0.5000 0.0000
O: 0.5000 0.0000 0.0000

---

The following is a PBE calculation of a relaxed structure of SrAuIO2, from the Alexandria database.

The calculation puts the energy relative to the elements, uncorrected at -0.286 eV/atom. Its energy above the lowest structure with this stoichiometry is 166 meV per atom. The space-group type is No. 123.

Cell: 4.4762 4.4762 7.3899 Å, 90.00 90.00 90.00°
Site moments in Bohr magnetons follow the coordinates.
Atoms (fractional coordinates):
I: 0.0000 0.0000 0.5000  0.00
Sr: 0.0000 0.0000 0.0000  0.05
Au: 0.5000 0.5000 0.5000  0.00
O: 0.0000 0.5000 0.0000  0.81
O: 0.5000 0.0000 0.0000  0.81

---

The following is a PBE calculation of a relaxed structure of Sr2AuI2O2, from the Alexandria database.

The calculation puts the energy relative to the elements, uncorrected at -1.526 eV/atom. The space-group type is No. 139.

Cell: 4.2902 4.2902 10.8900 Å, 101.36 101.36 90.00°
Atoms (fractional coordinates):
Sr: 0.4184 0.4184 0.8369
Sr: 0.5816 0.5816 0.1631
Au: 0.0000 0.0000 0.0000
I: 0.1645 0.1645 0.3290
I: 0.8355 0.8355 0.6710
O: 0.0000 0.5000 0.0000
O: 0.5000 0.0000 0.0000

---

The following is a PBE calculation of a relaxed structure of SrAuIO2, from the Alexandria database.

The calculation puts the energy relative to the elements, uncorrected at -0.451 eV/atom. Its energy above the lowest structure with this stoichiometry is 0 meV per atom. The space-group type is No. 123.

Cell: 4.4870 4.4870 5.2944 Å, 90.00 90.00 90.00°
Atoms (fractional coordinates):
I: 0.0000 0.0000 0.5000
Sr: 0.5000 0.5000 0.5000
Au: 0.0000 0.0000 0.0000
O: 0.0000 0.5000 0.0000
O: 0.5000 0.0000 0.0000

---

The following is a PBE calculation of a relaxed structure of TaAuIO2, from the Alexandria database.

The calculation puts the energy relative to the elements, uncorrected at -1.184 eV/atom. Its energy above the lowest structure with this stoichiometry is 0 meV per atom. The space-group type is No. 123.

Cell: 3.9637 3.9637 6.1588 Å, 90.00 90.00 90.00°
Atoms (fractional coordinates):
I: 0.0000 0.0000 0.5000
Au: 0.5000 0.5000 0.5000
O: 0.0000 0.5000 0.0000
O: 0.5000 0.0000 0.0000
Ta: 0.0000 0.0000 0.0000

---

The following is a PBE calculation of a relaxed structure of TaAu2IO, from the Alexandria database.

The calculation puts the energy relative to the elements, uncorrected at 0.952 eV/atom. The space-group type is No. 123.

Cell: 4.2592 5.7563 4.2592 Å, 90.00 90.00 90.00°
Site moments in Bohr magnetons follow the coordinates.
Atoms (fractional coordinates):
I: 0.0000 0.5000 0.0000  0.01
Au: 0.0000 0.0000 0.5000  0.06
Au: 0.5000 0.0000 0.0000  0.04
O: 0.0000 0.0000 0.0000  0.02
Ta: 0.5000 0.5000 0.5000  1.74

---

The following is a PBE calculation of a relaxed structure of TaAuIO2, from the Alexandria database.

The calculation puts the energy relative to the elements, uncorrected at 1.048 eV/atom. Its energy above the lowest structure with this stoichiometry is 2232 meV per atom. The space-group type is No. 123.

Cell: 4.1476 4.1476 5.5557 Å, 90.00 90.00 90.00°
Site moments in Bohr magnetons follow the coordinates.
Atoms (fractional coordinates):
I: 0.0000 0.0000 0.5000  -0.03
Au: 0.0000 0.0000 0.0000  -0.10
O: 0.0000 0.5000 0.0000  -0.14
O: 0.5000 0.0000 0.0000  -0.14
Ta: 0.5000 0.5000 0.5000  1.80

---

The following is a PBE calculation of a relaxed structure of TcAuI2O, from the Alexandria database.

The calculation puts the energy relative to the elements, uncorrected at -0.034 eV/atom. Its energy above the lowest structure with this stoichiometry is 0 meV per atom. The space-group type is No. 123.

Cell: 5.5781 5.5781 3.7390 Å, 90.00 90.00 90.00°
Atoms (fractional coordinates):
I: 0.0000 0.5000 0.0000
I: 0.5000 0.0000 0.0000
Au: 0.5000 0.5000 0.5000
Tc: 0.0000 0.0000 0.0000
O: 0.0000 0.0000 0.5000

---

The following is a PBE calculation of a relaxed structure of TcAuIO2, from the Alexandria database.

The calculation puts the energy relative to the elements, uncorrected at 0.930 eV/atom. Its energy above the lowest structure with this stoichiometry is 1387 meV per atom. The space-group type is No. 123.

Cell: 4.0013 4.0013 6.9074 Å, 90.00 90.00 90.00°
Site moments in Bohr magnetons follow the coordinates.
Atoms (fractional coordinates):
I: 0.0000 0.0000 0.5000  0.06
Au: 0.0000 0.0000 0.0000  0.32
Tc: 0.5000 0.5000 0.5000  3.10
O: 0.0000 0.5000 0.0000  0.40
O: 0.5000 0.0000 0.0000  0.40

---

The following is a PBE calculation of a relaxed structure of TcAuI2O, from the Alexandria database.

The calculation puts the energy relative to the elements, uncorrected at 0.886 eV/atom. Its energy above the lowest structure with this stoichiometry is 920 meV per atom. The space-group type is No. 123.

Cell: 5.7751 5.7751 3.9727 Å, 90.00 90.00 90.00°
Site moments in Bohr magnetons follow the coordinates.
Atoms (fractional coordinates):
I: 0.0000 0.5000 0.0000  0.07
I: 0.5000 0.0000 0.0000  0.07
Au: 0.0000 0.0000 0.0000  0.01
Tc: 0.5000 0.5000 0.5000  3.73
O: 0.0000 0.0000 0.5000  0.01